{
  "formula": "Pm8NiSe3S4",
  "functional": "PBE",
  "state": "optimized geometry",
  "cell": [[8.225, 0.000, 0.000], [0.000, 8.205, -0.020], [-4.113, -4.108, 5.819]],
  "species": ["Pm", "Pm", "Pm", "Pm", "Pm", "Pm", "Pm", "Pm", "Ni", "Se", "Se", "Se", "S", "S", "S", "S"],
  "fractional_positions": [[0.245, 0.753, 0.009], [0.245, 0.753, 0.489], [0.244, 0.232, 0.488], [0.764, 0.753, 0.009], [0.236, 0.247, 0.991], [0.756, 0.768, 0.512], [0.755, 0.247, 0.511], [0.755, 0.247, 0.991], [0.000, 0.500, 0.000], [0.500, 0.500, 0.000], [0.500, 0.500, 0.500], [0.000, 0.500, 0.500], [0.500, 0.000, 0.000], [0.500, 0.000, 0.500], [0.000, 0.000, 0.000], [0.000, 0.000, 0.500]],
  "sg": "R-3m (166)",
  "raw_formation_energy_ev_per_atom": -1.74,
  "final_energy_ev_per_atom": -6.16
}